Computed, not measured: a relaxed structure of LaScH3 at the PBE-GGA level of DFT.

Cell: 4.341 4.341 4.341 Å, 90.00 90.00 90.00°
Element x y z (fractional)
La 0.000 0.000 0.000
Sc 0.500 0.500 0.500
H 0.000 0.000 0.500
H 0.000 0.500 0.000
H 0.500 0.000 0.000

Results
Space-group type ... Pm-3m, No. 221
Excess energy over the best structure of this formula in the dataset ... 42.7 kJ per mole of atoms


Computed, not measured: a relaxed structure of La3ScH at the PBE-GGA level of DFT.

Cell: 5.153 5.153 5.153 Å, 90.00 90.00 90.00°
Element x y z (fractional)
La 0.000 0.000 0.500
La 0.000 0.500 0.000
La 0.500 0.000 0.000
Sc 0.500 0.500 0.500
H 0.000 0.000 0.000

Results
Space-group type ... Pm-3m, No. 221
Excess energy over the best structure of this formula in the dataset ... 0.0 kJ per mole of atoms


Computed, not measured: a relaxed structure of La2ScH8 at the PBE-GGA level of DFT.

Cell: 6.599 6.599 6.599 Å, 145.99 134.57 57.94°
Element x y z (fractional)
La 0.168 0.168 0.000
La 0.832 0.832 0.000
Sc 0.500 0.500 0.000
H 0.119 0.359 0.759
H 0.277 0.000 0.277
H 0.307 0.807 0.500
H 0.400 0.641 0.759
H 0.600 0.359 0.241
H 0.693 0.193 0.500
H 0.723 0.000 0.723
H 0.881 0.641 0.241

Results
Space-group type ... Immm, No. 71
Raw total energy ... -49.27 eV for the cell shown


Computed, not measured: a relaxed structure of LaScH2 at the PBE-GGA level of DFT.

Cell: 6.060 6.060 6.060 Å, 32.99 32.99 32.99°
Element x y z (fractional)
La 0.000 0.000 0.000
Sc 0.500 0.500 0.500
H 0.230 0.230 0.230
H 0.770 0.770 0.770

Results
Space-group type ... R-3m, No. 166
Excess energy over the best structure of this formula in the dataset ... 0.0 kJ per mole of atoms


Listing total magnetic moment for the structures above in their given order: 0.96; 0.00; 0.00; 0.00 μB/f.u..